This record from Alexandria describes CoAg8 after structural relaxation. The functional is PBE-GGA.

abc: 6.4931 6.4931 6.4931
angles: 95.66 95.66 143.40
Atoms (fractional coordinates):
Co  0.0000  0.0000  0.0000
Ag  0.3294  0.0000  0.3294
Ag  0.6706  0.0000  0.6706
Ag  0.0000  0.6706  0.6706
Ag  0.3375  0.6625  0.0000
Ag  0.6625  0.6625  0.3251
Ag  0.0000  0.3294  0.3294
Ag  0.3375  0.3375  0.6749
Ag  0.6625  0.3375  0.0000

E   -3.15 eV/atom
DFT formation energy   0.1742 eV per atom
Total magnetic moment   1.9 μB/f.u.
Symmetry   No. 139